Here is a relaxed structure of CoGePb2O6 from the Open Quantum Materials Database. Energies are from GGA+U.

```
CoGePb2O6
1.0
-2.726 2.726 3.933
2.726 -2.726 3.933
2.726 2.726 -3.933
Co Ge O Pb
1 1 6 2
direct
0.000 0.000 0.000
0.500 0.500 0.000
0.748 0.252 0.000
0.260 0.260 0.000
0.740 0.740 0.000
0.252 0.748 0.000
0.748 0.748 0.495
0.252 0.252 0.505
0.750 0.250 0.500
0.250 0.750 0.500
```

Results
As for the space-group type: I4/mmm. As for the excess energy over the best structure of this formula in the dataset: 64.0 meV/atom.